# 1
Below is a relaxed ZnHgOs2 crystal, with properties calculated at the PBE level.

Lattice parameters (Å, degrees): 2.7702 4.5103 11.3842 90.00 90.00 90.00
Closest atoms and distances in Å follow each position.
Space group Imm2 (No. 44)
Unique sites:
Zn1 0.0000 0.0000 0.0000 [2 per cell]  4 Os 2.70, 2 Zn 2.77
Hg1 0.0000 0.5000 0.1870 [2 per cell]  2 Hg 2.77, 6 Os 2.81-3.02, 2 Zn 3.10
Os1 0.0000 0.0000 0.4516 [2 per cell]  4 Os 2.48-2.77, 4 Zn 2.70
Os2 0.0000 0.5000 0.7705 [2 per cell]  4 Os 2.48-2.77

Calculated values
Its formation energy from the elements is 698 meV/atom.


# 2
Below is a relaxed Sr2TlAs2 crystal, with properties calculated at the PBE level.

Lattice parameters (Å, degrees): 8.0719 8.0719 4.4550 90.00 90.00 90.00
Closest atoms and distances in Å follow each position.
Space group P4/mbm (No. 127)
Unique sites:
Sr1 0.1791 0.3209 0.0000 [4 per cell]  6 As 3.27-3.28
Tl1 0.0000 0.0000 0.5000 [2 per cell]  4 As 3.27
As1 0.1109 0.6109 0.5000 [4 per cell]  1 As 2.53

Calculated values
Its formation energy from the elements is -818 meV/atom.


# 3
Below is a relaxed NdHoZnSi crystal, with properties calculated at the PBE level.

Lattice parameters (Å, degrees): 7.1472 7.1472 7.1472 90.00 90.00 90.00
Closest atoms and distances in Å follow each position.
Space group F-43m (No. 216)
Unique sites:
Nd1 0.0000 0.0000 0.0000 [4 per cell]  4 Si 3.09, 4 Zn 3.09
Ho1 0.0000 0.0000 0.5000 [4 per cell]  4 Zn 3.09, 4 Si 3.09
Zn1 0.2500 0.2500 0.2500 [4 per cell]  4 Ho 3.09, 4 Nd 3.09
Si1 0.2500 0.2500 0.7500 [4 per cell]  4 Ho 3.09, 4 Nd 3.09

Calculated values
Its formation energy without anion corrections is -0.437 eV/atom.


# 4
Below is a relaxed LiSb2Pt crystal, with properties calculated at the PBE level.

Lattice parameters (Å, degrees): 4.0436 4.0457 10.1849 90.00 90.00 90.00
Closest atoms and distances in Å follow each position.
Space group Imm2 (No. 44)
Unique sites:
Li1 0.0000 0.0000 0.0000 [2 per cell]  2 Pt 2.81, 4 Sb 2.86
Sb1 0.0000 0.0000 0.5042 [2 per cell]  2 Pt 2.78, 4 Li 2.86
Sb2 0.0000 0.5000 0.2473 [2 per cell]  4 Pt 2.92, 2 Sb 3.20, 2 Li 3.23
Pt1 0.0000 0.5000 0.6915 [2 per cell]  6 Sb 2.78-2.92, 2 Li 2.81

Calculated values
Its formation energy without anion corrections is -0.279 eV/atom.